1.
An optimized crystal structure of ZrInPb2. Source: the Alexandria database, functional PBE.

Cell lengths 7.593, 7.593, 7.593 Å; angles 90.00, 90.00, 90.00 degrees
Fractional coordinates of all 16 atoms:
1 Zr 0.000 0.000 0.000
2 Zr 0.000 0.500 0.500
3 Zr 0.500 0.000 0.500
4 Zr 0.500 0.500 0.000
5 In 0.250 0.250 0.250
6 In 0.250 0.750 0.750
7 In 0.750 0.250 0.750
8 In 0.750 0.750 0.250
9 Pb 0.000 0.000 0.500
10 Pb 0.000 0.500 0.000
11 Pb 0.250 0.250 0.750
12 Pb 0.250 0.750 0.250
13 Pb 0.500 0.000 0.000
14 Pb 0.500 0.500 0.500
15 Pb 0.750 0.250 0.250
16 Pb 0.750 0.750 0.750

***

2.
An optimized crystal structure of ZrIn2Pb. Source: the Alexandria database, functional PBE.

Cell lengths 4.426, 4.426, 9.859 Å; angles 90.00, 90.00, 90.00 degrees
Fractional coordinates of all 8 atoms:
1 Zr 0.000 0.000 0.000
2 Zr 0.500 0.500 0.500
3 In 0.000 0.000 0.500
4 In 0.000 0.500 0.750
5 In 0.500 0.000 0.250
6 In 0.500 0.500 0.000
7 Pb 0.000 0.500 0.250
8 Pb 0.500 0.000 0.750

***

3.
An optimized crystal structure of ZrIn2Pb. Source: the Alexandria database, functional PBE.

Cell lengths 3.404, 3.404, 30.994 Å; angles 90.00, 90.00, 120.00 degrees
Fractional coordinates of all 12 atoms:
1 Zr 0.000 0.000 0.000
2 Zr 0.333 0.667 0.667
3 Zr 0.667 0.333 0.333
4 In 0.000 0.000 0.255
5 In 0.000 0.000 0.745
6 In 0.333 0.667 0.412
7 In 0.333 0.667 0.922
8 In 0.667 0.333 0.078
9 In 0.667 0.333 0.588
10 Pb 0.000 0.000 0.500
11 Pb 0.333 0.667 0.167
12 Pb 0.667 0.333 0.833

***

4.
An optimized crystal structure of Zr2InPb. Source: the Alexandria database, functional PBE.

Cell lengths 3.239, 4.417, 6.463 Å; angles 90.00, 93.31, 90.00 degrees
Fractional coordinates of all 4 atoms:
1 Zr 0.011 0.000 0.245
2 Zr 0.989 0.000 0.755
3 In 0.500 0.500 0.000
4 Pb 0.500 0.500 0.500

***

5.
An optimized crystal structure of Zr3InPb. Source: the Alexandria database, functional PBE.

- ΔE to the lowest computed polymorph (eV per atom) = 0.946

Cell lengths 5.281, 5.281, 5.281 Å; angles 90.00, 90.00, 90.00 degrees
Fractional coordinates of all 5 atoms:
1 Zr 0.000 0.000 0.500
2 Zr 0.000 0.500 0.000
3 Zr 0.500 0.000 0.000
4 In 0.000 0.000 0.000
5 Pb 0.500 0.500 0.500

***

6.
An optimized crystal structure of Zr6In3Pb. Source: the Alexandria database, functional PBE.

Cell lengths 7.740, 7.443, 10.902 Å; angles 90.00, 130.33, 90.00 degrees
Fractional coordinates of all 20 atoms:
1 Zr 0.047 0.147 0.308
2 Zr 0.047 0.353 0.808
3 Zr 0.271 0.183 0.699
4 Zr 0.271 0.317 0.199
5 Zr 0.409 0.625 0.860
6 Zr 0.409 0.875 0.360
7 Zr 0.591 0.125 0.640
8 Zr 0.591 0.375 0.140
9 Zr 0.729 0.683 0.801
10 Zr 0.729 0.817 0.301
11 Zr 0.953 0.647 0.192
12 Zr 0.953 0.853 0.692
13 In 0.000 0.000 0.000
14 In 0.000 0.500 0.500
15 In 0.244 0.665 0.052
16 In 0.244 0.835 0.552
17 In 0.756 0.165 0.448
18 In 0.756 0.335 0.948
19 Pb 0.500 0.000 0.000
20 Pb 0.500 0.500 0.500

***

7.
An optimized crystal structure of Zr2InPb. Source: the Alexandria database, functional PBE.

Cell lengths 3.329, 3.329, 32.122 Å; angles 90.00, 90.00, 120.00 degrees
Fractional coordinates of all 12 atoms:
1 Zr 0.000 0.000 0.000
2 Zr 0.000 0.000 0.258
3 Zr 0.333 0.667 0.667
4 Zr 0.333 0.667 0.925
5 Zr 0.667 0.333 0.333
6 Zr 0.667 0.333 0.592
7 In 0.000 0.000 0.746
8 In 0.333 0.667 0.412
9 In 0.667 0.333 0.079
10 Pb 0.000 0.000 0.505
11 Pb 0.333 0.667 0.172
12 Pb 0.667 0.333 0.839

***

8.
An optimized crystal structure of ZrInPb2. Source: the Alexandria database, functional PBE.

Cell lengths 4.385, 5.004, 9.907 Å; angles 90.00, 90.00, 90.00 degrees
Fractional coordinates of all 8 atoms:
1 Zr 0.000 0.000 0.000
2 Zr 0.500 0.500 0.000
3 In 0.000 0.000 0.500
4 In 0.500 0.500 0.500
5 Pb 0.000 0.500 0.229
6 Pb 0.000 0.500 0.771
7 Pb 0.500 0.000 0.229
8 Pb 0.500 0.000 0.771

***

9.
An optimized crystal structure of Zr2InPb. Source: the Alexandria database, functional PBE.

Cell lengths 3.234, 3.234, 8.847 Å; angles 90.00, 90.00, 90.00 degrees
Fractional coordinates of all 4 atoms:
1 Zr 0.000 0.000 0.239
2 Zr 0.000 0.000 0.761
3 In 0.500 0.500 0.000
4 Pb 0.500 0.500 0.500

***

10.
An optimized crystal structure of ZrIn3Pb. Source: the Alexandria database, functional PBE.

- ΔE to the lowest computed polymorph (eV per atom) = 0.576

Cell lengths 5.626, 5.626, 5.626 Å; angles 90.00, 90.00, 90.00 degrees
Fractional coordinates of all 5 atoms:
1 Zr 0.000 0.000 0.000
2 In 0.000 0.500 0.500
3 In 0.500 0.000 0.500
4 In 0.500 0.500 0.000
5 Pb 0.500 0.500 0.500

***

11.
An optimized crystal structure of ZrInPb2. Source: the Alexandria database, functional PBE.

Cell lengths 3.319, 3.319, 9.888 Å; angles 90.00, 90.00, 90.00 degrees
Fractional coordinates of all 4 atoms:
1 Zr 0.000 0.000 0.000
2 In 0.000 0.000 0.500
3 Pb 0.500 0.500 0.229
4 Pb 0.500 0.500 0.771

***

12.
An optimized crystal structure of ZrIn2Pb. Source: the Alexandria database, functional PBE.

Cell lengths 3.432, 5.331, 10.904 Å; angles 90.00, 90.00, 90.00 degrees
Fractional coordinates of all 8 atoms:
1 Zr 0.000 0.000 0.000
2 Zr 0.500 0.500 0.500
3 In 0.000 0.500 0.260
4 In 0.000 0.500 0.740
5 In 0.500 0.000 0.240
6 In 0.500 0.000 0.760
7 Pb 0.000 0.000 0.500
8 Pb 0.500 0.500 0.000

***

13.
An optimized crystal structure of ZrIn2Pb2. Source: the Alexandria database, functional PBE.

- ΔE to the lowest computed polymorph (eV per atom) = 0.026

Cell lengths 8.016, 8.016, 4.267 Å; angles 90.00, 90.00, 90.00 degrees
Fractional coordinates of all 10 atoms:
1 Zr 0.000 0.000 0.000
2 Zr 0.500 0.500 0.000
3 In 0.158 0.342 0.500
4 In 0.342 0.842 0.500
5 In 0.658 0.158 0.500
6 In 0.842 0.658 0.500
7 Pb 0.148 0.648 0.000
8 Pb 0.352 0.148 0.000
9 Pb 0.648 0.852 0.000
10 Pb 0.852 0.352 0.000

***

14.
An optimized crystal structure of Zr2InPb2. Source: the Alexandria database, functional PBE.

Cell lengths 7.766, 7.766, 4.222 Å; angles 90.00, 90.00, 90.00 degrees
Fractional coordinates of all 10 atoms:
1 Zr 0.143 0.357 0.000
2 Zr 0.357 0.857 0.000
3 Zr 0.643 0.143 0.000
4 Zr 0.857 0.643 0.000
5 In 0.000 0.000 0.000
6 In 0.500 0.500 0.000
7 Pb 0.163 0.663 0.500
8 Pb 0.337 0.163 0.500
9 Pb 0.663 0.837 0.500
10 Pb 0.837 0.337 0.500

***

15.
An optimized crystal structure of ZrIn2Pb. Source: the Alexandria database, functional PBE.

Cell lengths 4.376, 4.376, 10.016 Å; angles 90.00, 90.00, 90.00 degrees
Fractional coordinates of all 8 atoms:
1 Zr 0.000 0.000 0.000
2 Zr 0.500 0.500 0.500
3 In 0.000 0.500 0.250
4 In 0.000 0.500 0.750
5 In 0.500 0.000 0.250
6 In 0.500 0.000 0.750
7 Pb 0.000 0.000 0.500
8 Pb 0.500 0.500 0.000

***

16.
An optimized crystal structure of Zr6InPb. Source: the Alexandria database, functional PBE.

Cell lengths 6.332, 6.332, 5.241 Å; angles 90.00, 90.00, 120.00 degrees
Fractional coordinates of all 8 atoms:
1 Zr 0.000 0.500 0.000
2 Zr 0.166 0.333 0.500
3 Zr 0.166 0.834 0.500
4 Zr 0.500 0.000 0.000
5 Zr 0.500 0.500 0.000
6 Zr 0.667 0.834 0.500
7 In 0.000 0.000 0.000
8 Pb 0.667 0.333 0.500

***

17.
An optimized crystal structure of Zr2InPb. Source: the Alexandria database, functional PBE.

Cell lengths 7.330, 7.330, 7.330 Å; angles 90.00, 90.00, 90.00 degrees
Fractional coordinates of all 16 atoms:
1 Zr 0.000 0.000 0.000
2 Zr 0.000 0.500 0.500
3 Zr 0.250 0.250 0.250
4 Zr 0.250 0.750 0.750
5 Zr 0.500 0.000 0.500
6 Zr 0.500 0.500 0.000
7 Zr 0.750 0.250 0.750
8 Zr 0.750 0.750 0.250
9 In 0.250 0.250 0.750
10 In 0.250 0.750 0.250
11 In 0.750 0.250 0.250
12 In 0.750 0.750 0.750
13 Pb 0.000 0.000 0.500
14 Pb 0.000 0.500 0.000
15 Pb 0.500 0.000 0.000
16 Pb 0.500 0.500 0.500

***

18.
An optimized crystal structure of ZrInPb2. Source: the Alexandria database, functional PBE.

Cell lengths 11.925, 3.322, 5.638 Å; angles 90.00, 110.88, 90.00 degrees
Fractional coordinates of all 8 atoms:
1 Zr 0.000 0.000 0.000
2 Zr 0.500 0.500 0.000
3 In 0.281 0.000 0.649
4 In 0.781 0.500 0.649
5 Pb 0.024 0.500 0.507
6 Pb 0.249 0.500 0.123
7 Pb 0.524 0.000 0.507
8 Pb 0.749 0.000 0.123

***

19.
An optimized crystal structure of ZrIn2Pb. Source: the Alexandria database, functional PBE.

Cell lengths 8.401, 8.401, 6.074 Å; angles 90.00, 90.00, 90.00 degrees
Fractional coordinates of all 16 atoms:
1 Zr 0.000 0.000 0.000
2 Zr 0.000 0.500 0.250
3 Zr 0.500 0.000 0.750
4 Zr 0.500 0.500 0.500
5 In 0.242 0.250 0.125
6 In 0.250 0.742 0.375
7 In 0.250 0.758 0.875
8 In 0.258 0.250 0.625
9 In 0.742 0.750 0.625
10 In 0.750 0.242 0.875
11 In 0.750 0.258 0.375
12 In 0.758 0.750 0.125
13 Pb 0.000 0.000 0.500
14 Pb 0.000 0.500 0.750
15 Pb 0.500 0.000 0.250
16 Pb 0.500 0.500 0.000

***

20.
An optimized crystal structure of Zr4InPb. Source: the Alexandria database, functional PBE.

- ΔE to the lowest computed polymorph (eV per atom) = 0.000

Cell lengths 10.853, 3.413, 8.080 Å; angles 90.00, 111.86, 90.00 degrees
Fractional coordinates of all 12 atoms:
1 Zr 0.166 0.000 0.331
2 Zr 0.166 0.000 0.835
3 Zr 0.334 0.500 0.165
4 Zr 0.334 0.500 0.669
5 Zr 0.666 0.500 0.331
6 Zr 0.666 0.500 0.835
7 Zr 0.834 0.000 0.165
8 Zr 0.834 0.000 0.669
9 In 0.000 0.500 0.000
10 In 0.500 0.000 0.000
11 Pb 0.000 0.500 0.500
12 Pb 0.500 0.000 0.500

***

21.
An optimized crystal structure of Zr2InPb. Source: the Alexandria database, functional PBE.

Cell lengths 4.320, 4.320, 10.011 Å; angles 90.00, 90.00, 90.00 degrees
Fractional coordinates of all 8 atoms:
1 Zr 0.000 0.000 0.000
2 Zr 0.000 0.500 0.250
3 Zr 0.500 0.000 0.750
4 Zr 0.500 0.500 0.500
5 In 0.000 0.000 0.500
6 In 0.500 0.500 0.000
7 Pb 0.000 0.500 0.750
8 Pb 0.500 0.000 0.250

***

22.
An optimized crystal structure of ZrInPb2. Source: the Alexandria database, functional PBE.

Cell lengths 11.370, 3.299, 5.648 Å; angles 90.00, 97.87, 90.00 degrees
Fractional coordinates of all 8 atoms:
1 Zr 0.000 0.000 0.000
2 Zr 0.500 0.500 0.000
3 In 0.000 0.500 0.500
4 In 0.500 0.000 0.500
5 Pb 0.241 0.500 0.239
6 Pb 0.259 0.000 0.761
7 Pb 0.741 0.000 0.239
8 Pb 0.759 0.500 0.761

***

23.
An optimized crystal structure of ZrInPb3. Source: the Alexandria database, functional PBE.

- ΔE to the lowest computed polymorph (eV per atom) = 0.000

Cell lengths 5.690, 5.690, 5.690 Å; angles 90.00, 90.00, 90.00 degrees
Fractional coordinates of all 5 atoms:
1 Zr 0.000 0.000 0.000
2 In 0.500 0.500 0.500
3 Pb 0.000 0.000 0.500
4 Pb 0.000 0.500 0.000
5 Pb 0.500 0.000 0.000

***

24.
An optimized crystal structure of Zr5In2Pb. Source: the Alexandria database, functional PBE.

Cell lengths 8.347, 8.347, 8.347 Å; angles 125.48, 125.48, 80.74 degrees
Fractional coordinates of all 16 atoms:
1 Zr 0.000 0.000 0.000
2 Zr 0.005 0.505 0.192
3 Zr 0.187 0.995 0.500
4 Zr 0.313 0.813 0.808
5 Zr 0.495 0.687 0.500
6 Zr 0.500 0.500 0.000
7 Zr 0.505 0.313 0.500
8 Zr 0.687 0.187 0.192
9 Zr 0.813 0.005 0.500
10 Zr 0.995 0.495 0.808
11 In 0.142 0.358 0.500
12 In 0.358 0.858 0.216
13 In 0.642 0.142 0.784
14 In 0.858 0.642 0.500
15 Pb 0.250 0.250 0.000
16 Pb 0.750 0.750 0.000

***

25.
An optimized crystal structure of Zr2InPb. Source: the Alexandria database, functional PBE.

Cell lengths 3.200, 5.374, 5.472 Å; angles 90.00, 94.61, 90.00 degrees
Fractional coordinates of all 4 atoms:
1 Zr 0.000 0.000 0.000
2 Zr 0.141 0.500 0.633
3 In 0.592 0.500 0.124
4 Pb 0.559 0.000 0.500

***

26.
An optimized crystal structure of ZrInPb2. Source: the Alexandria database, functional PBE.

Cell lengths 5.042, 5.042, 4.056 Å; angles 90.00, 90.00, 90.00 degrees
Fractional coordinates of all 4 atoms:
1 Zr 0.000 0.000 0.000
2 In 0.500 0.500 0.000
3 Pb 0.000 0.500 0.500
4 Pb 0.500 0.000 0.500

***

27.
An optimized crystal structure of Zr2InPb. Source: the Alexandria database, functional PBE.

Cell lengths 4.534, 4.575, 8.883 Å; angles 90.00, 90.00, 90.00 degrees
Fractional coordinates of all 8 atoms:
1 Zr 0.000 0.000 0.250
2 Zr 0.000 0.000 0.750
3 Zr 0.500 0.500 0.250
4 Zr 0.500 0.500 0.750
5 In 0.000 0.500 0.000
6 In 0.500 0.000 0.500
7 Pb 0.000 0.500 0.500
8 Pb 0.500 0.000 0.000

***

| no. | DOS(E_F) (states/eV per atom) | energy of formation (eV/atom) | spin magnetization (μB per formula unit) |
| --- | --- | --- | --- |
| 1 | 1.06 | 0.257 | 0.99 |
| 2 | 0.34 | -0.091 | 0.00 |
| 3 | 0.57 | 0.002 | 0.00 |
| 4 | 0.50 | -0.205 | 0.00 |
| 5 | 1.49 | 0.776 | 0.00 |
| 6 | 0.99 | -0.038 | 0.00 |
| 7 | 0.92 | 0.013 | 0.00 |
| 8 | 0.68 | -0.001 | 0.00 |
| 9 | 0.27 | -0.213 | 0.00 |
| 10 | 1.46 | 1.051 | 1.73 |
| 11 | 0.75 | 0.002 | 0.00 |
| 12 | 0.68 | -0.026 | 0.00 |
| 13 | 0.70 | 0.218 | 0.00 |
| 14 | 0.70 | -0.076 | 0.04 |
| 15 | 0.45 | -0.086 | 0.00 |
| 16 | 0.47 | -0.197 | 0.00 |
| 17 | 1.22 | 0.283 | 1.61 |
| 18 | 0.63 | -0.003 | 0.00 |
| 19 | 0.69 | 0.170 | 0.00 |
| 20 | 0.70 | -0.201 | 0.00 |
| 21 | 0.62 | -0.216 | 0.00 |
| 22 | 0.67 | 0.003 | 0.00 |
| 23 | 0.40 | 0.294 | 0.00 |
| 24 | 1.31 | -0.208 | 0.00 |
| 25 | 0.85 | -0.113 | 0.00 |
| 26 | 0.59 | 0.047 | 0.00 |
| 27 | 0.63 | -0.207 | 0.00 |